The following is a DFT calculation (GGA-PBE) of a relaxed structure of TbSmPd2.

ΔE_f: -715 meV/atom
DOS at the Fermi energy: 2.58 states/eV/cell
theoretical density: 8.717 Mg/m³
magnetization: 0.00 μB per formula unit
DFT total energy: -5.649 eV per atom

POSCAR file:
```
TbSmPd2
1.0
4.1394 0.0000 0.0000
2.0697 3.5848 0.0000
2.0697 1.1949 6.7030
Pd Sm Tb
2 1 1
direct
0.7477 0.7477 0.7569 Pd
0.2523 0.2523 0.2431 Pd
0.5000 0.5000 0.5000 Sm
0.0000 0.0000 0.0000 Tb
```